# GGA-PBE K2LaPdCl, relaxed
data_K2LaPdCl
_chemical_formula_sum 'K2 La1 Pd1 Cl1'
_symmetry_space_group_name_H-M 'P 4/m m m'
_symmetry_Int_Tables_number 123
_symmetry_space_group_name_Hall '-P 4 2'
_cell_length_a 5.606
_cell_length_b 5.606
_cell_length_c 5.474
_cell_angle_alpha 90.00
_cell_angle_beta 90.00
_cell_angle_gamma 90.00
loop_
_atom_site_label
_atom_site_type_symbol
_atom_site_fract_x
_atom_site_fract_y
_atom_site_fract_z
K1 K 0.000 0.500 0.000
La1 La 0.000 0.000 0.500
Pd1 Pd 0.500 0.500 0.500
Cl1 Cl 0.500 0.500 0.000
# ΔE_f (raw)   0.017 eV per atom